No. 1
{
  "formula": "GaAgBi",
  "functional": "PBE-GGA",
  "state": "optimized geometry",
  "lattice": [[-3.6480, -0.7104, 1.0620], [0.7493, -4.5153, -0.4464], [0.7708, 2.0710, 4.0330]],
  "species": ["Ag", "Ga", "Bi"],
  "frac_coords": [[0.1903, 0.3333, 0.6667], [0.1520, 0.0000, 0.0000], [0.6577, 0.6667, 0.3333]],
  "space_group": "P3m1",
  "formation_energy_ev_per_atom": 0.1228,
  "dos_ef_per_ev_atom": 0.54,
  "total_magnetization_mub_per_atom": 0.00,
  "polymorph_energy_ev_per_atom": 0.0175,
  "dft_energy_ev_per_fu": -9.39
}


No. 2
{
  "formula": "Mg2ScCdH",
  "functional": "PBE-GGA",
  "state": "optimized geometry",
  "lattice": [[-0.0673, -4.5138, 0.6936], [3.4266, 0.4086, 2.9919], [-2.7609, 0.5163, 3.0915]],
  "species": ["Mg", "Mg", "Cd", "Sc", "H"],
  "frac_coords": [[0.0000, 0.5000, 0.0000], [0.5000, 0.0000, 0.0000], [0.5000, 0.5000, 0.5000], [0.0000, 0.0000, 0.5000], [0.0000, 0.0000, 0.0000]],
  "space_group": "P4/mmm",
  "dos_ef_per_ev_atom": 0.43,
  "total_magnetization_mub_per_atom": 0.00,
  "dft_energy_ev_per_fu": -14.76
}


No. 3
{
  "formula": "MgTlSi2",
  "functional": "PBE-GGA",
  "state": "optimized geometry",
  "lattice": [[4.9049, 0.0000, 0.0000], [0.0000, 4.0577, 0.0000], [0.0000, 0.0000, 4.0577]],
  "species": ["Si", "Si", "Mg", "Tl"],
  "frac_coords": [[0.0000, 0.0000, 0.0000], [0.0000, 0.5000, 0.5000], [0.5000, 0.0000, 0.5000], [0.5000, 0.5000, 0.0000]],
  "space_group": "P4/mmm",
  "dos_ef_per_ev_atom": 0.26,
  "total_magnetization_mub_per_atom": 0.00,
  "e_form_raw_ev_per_atom": 0.4059,
  "polymorph_energy_ev_per_atom": 0.2481,
  "dft_energy_ev_per_fu": -13.18
}


No. 4
{
  "formula": "Rb2Tl3MoS6",
  "functional": "PBE-GGA",
  "state": "optimized geometry",
  "lattice": [[8.0465, -0.2808, -0.0648], [-4.2645, 6.8292, -0.0648], [-1.3146, -2.2763, 6.4806]],
  "species": ["Mo", "Tl", "Tl", "Tl", "S", "S", "S", "S", "S", "S", "Rb", "Rb"],
  "frac_coords": [[0.0000, 0.0000, 0.0000], [0.1357, 0.8643, 0.5000], [0.8643, 0.1357, 0.5000], [0.5000, 0.5000, 0.5000], [0.6760, 0.9137, 0.7751], [0.0863, 0.3240, 0.2249], [0.3240, 0.0863, 0.2249], [0.2011, 0.2011, 0.7932], [0.7989, 0.7989, 0.2068], [0.9137, 0.6760, 0.7751], [0.6775, 0.3225, 0.0000], [0.3225, 0.6775, 0.0000]],
  "space_group": "C2/m",
  "dos_ef_per_ev_atom": 0.07,
  "total_magnetization_mub_per_atom": 0.00,
  "e_form_raw_ev_per_atom": -0.5589,
  "dft_energy_ev_per_fu": -51.34
}


No. 5
{
  "formula": "SrZrRu2",
  "functional": "PBE-GGA",
  "state": "optimized geometry",
  "lattice": [[-0.7138, -5.1595, 1.5389], [2.4304, -4.8019, 0.7304], [1.3519, -0.1504, 5.1905]],
  "species": ["Sr", "Ru", "Ru", "Zr"],
  "frac_coords": [[0.5090, 0.5090, 0.4877], [0.9945, 0.9945, 0.0161], [0.2865, 0.2865, 0.1505], [0.7100, 0.7100, 0.8457]],
  "space_group": "Cm",
  "formation_energy_ev_per_atom": 0.2458,
  "dos_ef_per_ev_atom": 0.83,
  "total_magnetization_mub_per_atom": 0.00,
  "dft_energy_ev_per_fu": -27.80
}


No. 6
{
  "formula": "LiTmTlRu",
  "functional": "PBE-GGA",
  "state": "optimized geometry",
  "lattice": [[-4.2313, -2.1134, 0.4580], [-1.4980, -1.4151, 4.2818], [-3.5766, 2.2824, 2.1398]],
  "species": ["Tl", "Li", "Ru", "Tm"],
  "frac_coords": [[0.5000, 0.5000, 0.5000], [0.7500, 0.7500, 0.7500], [0.2500, 0.2500, 0.2500], [0.0000, 0.0000, 0.0000]],
  "space_group": "F-43m",
  "formation_energy_ev_per_atom": -0.1462,
  "dos_ef_per_ev_atom": 0.39,
  "total_magnetization_mub_per_atom": 0.00,
  "dft_energy_ev_per_fu": -18.61
}


No. 7
{
  "formula": "VInPd",
  "functional": "PBE-GGA",
  "state": "optimized geometry",
  "lattice": [[3.8911, 1.3609, -0.7275], [2.9032, 4.0896, -0.8931], [-2.1267, -1.9833, 8.8758]],
  "species": ["In", "In", "V", "V", "Pd", "Pd"],
  "frac_coords": [[0.6228, 0.8925, 0.4666], [0.7565, 0.7582, 0.9666], [0.5985, 0.2413, 0.2905], [0.7809, 0.4095, 0.1428], [0.7137, 0.1508, 0.8158], [0.6655, 0.5001, 0.6174]],
  "space_group": "P-1",
  "formation_energy_ev_per_atom": -0.0995,
  "dos_ef_per_ev_atom": 0.93,
  "total_magnetization_mub_per_atom": 0.00,
  "dft_energy_ev_per_fu": -17.35
}


No. 8
{
  "formula": "TbPrCo2",
  "functional": "PBE-GGA",
  "state": "optimized geometry",
  "lattice": [[3.9068, 0.0000, 0.0000], [0.0000, 5.7241, 0.0000], [0.0000, 0.0000, 7.6922]],
  "species": ["Co", "Co", "Co", "Co", "Pr", "Pr", "Tb", "Tb"],
  "frac_coords": [[0.5000, 0.1737, 0.9748], [0.0000, 0.3601, 0.0298], [0.5000, 0.8263, 0.4748], [0.0000, 0.6399, 0.5298], [0.0000, 0.1313, 0.6762], [0.0000, 0.8687, 0.1762], [0.5000, 0.6295, 0.8192], [0.5000, 0.3705, 0.3192]],
  "space_group": "Pmc2_1",
  "formation_energy_ev_per_atom": -0.0988,
  "dos_ef_per_ev_atom": 1.20,
  "total_magnetization_mub_per_atom": 0.13,
  "polymorph_energy_ev_per_atom": 0.0000,
  "dft_energy_ev_per_fu": -24.02
}


No. 9
{
  "formula": "LiTl3Pt",
  "functional": "PBE-GGA",
  "state": "optimized geometry",
  "lattice": [[5.3831, 0.0000, 0.0000], [0.0000, 5.3831, 0.0000], [0.0000, 0.0000, 5.3831]],
  "species": ["Pt", "Li", "Tl", "Tl", "Tl"],
  "frac_coords": [[0.0000, 0.0000, 0.0000], [0.5000, 0.5000, 0.5000], [0.0000, 0.5000, 0.0000], [0.5000, 0.0000, 0.0000], [0.0000, 0.0000, 0.5000]],
  "space_group": "Pm-3m",
  "formation_energy_ev_per_atom": 0.0660,
  "dos_ef_per_ev_atom": 0.61,
  "total_magnetization_mub_per_atom": 0.00,
  "polymorph_energy_ev_per_atom": 0.0000,
  "dft_energy_ev_per_fu": -14.72
}


No. 10
{
  "formula": "ZrIn2Hg",
  "functional": "PBE-GGA",
  "state": "optimized geometry",
  "lattice": [[-1.4884, -2.7534, 3.5347], [-1.8719, -1.5849, -2.0228], [4.6280, -3.9738, -1.1466]],
  "species": ["In", "In", "Hg", "Zr"],
  "frac_coords": [[0.0000, 0.7532, 0.4846], [0.0000, 0.7468, 0.0154], [0.5000, 0.7500, 0.7500], [0.5000, 0.2500, 0.2500]],
  "space_group": "P2/m",
  "formation_energy_ev_per_atom": -0.0636,
  "dos_ef_per_ev_atom": 0.64,
  "total_magnetization_mub_per_atom": 0.00,
  "dft_energy_ev_per_fu": -14.58
}


No. 11
{
  "formula": "Nb4AgAu5",
  "functional": "PBE-GGA",
  "state": "optimized geometry",
  "lattice": [[-1.6970, -0.0045, -2.3802], [-2.3733, -0.2198, 1.6924], [-1.2963, 20.8133, 0.8852]],
  "species": ["Nb", "Nb", "Nb", "Nb", "Au", "Au", "Au", "Au", "Au", "Ag"],
  "frac_coords": [[0.0000, 0.0000, 0.5997], [0.0000, 0.0000, 0.4003], [0.0000, 0.0000, 0.7995], [0.0000, 0.0000, 0.2005], [0.5000, 0.5000, 0.5000], [0.5000, 0.5000, 0.1026], [0.5000, 0.5000, 0.8974], [0.5000, 0.5000, 0.3004], [0.5000, 0.5000, 0.6996], [0.0000, 0.0000, 0.0000]],
  "space_group": "P4/mmm",
  "formation_energy_ev_per_atom": -0.0923,
  "dos_ef_per_ev_atom": 0.75,
  "total_magnetization_mub_per_atom": 0.00,
  "dft_energy_ev_per_fu": -60.44
}


No. 12
{
  "formula": "Fe2ReCl",
  "functional": "PBE-GGA",
  "state": "optimized geometry",
  "lattice": [[4.1974, 0.0585, 0.0865], [0.1315, 4.1956, 0.0865], [-2.1019, -2.0658, 2.9487]],
  "species": ["Fe", "Fe", "Re", "Cl"],
  "frac_coords": [[0.9687, 0.0314, 0.0000], [0.2409, 0.7591, 0.5000], [0.4689, 0.5311, 0.0001], [0.8215, 0.1784, 0.4999]],
  "space_group": "Imm2",
  "dos_ef_per_ev_atom": 1.09,
  "total_magnetization_mub_per_atom": 0.76,
  "e_form_raw_ev_per_atom": 0.9152,
  "polymorph_energy_ev_per_atom": 0.6409,
  "dft_energy_ev_per_fu": -27.56
}